Record 1
Computed, not measured: an optimized crystal structure of Li6Ag10Hg at the PBE level of DFT.

Values from the calculation:
- calculated formation energy (meV per atom) = -143
- total magnetic moment (Bohr magnetons per cell) = 0.000

Cell lengths 7.7346, 7.7346, 5.6334 Å; angles 90.00, 90.00, 120.00 degrees
Last column: nearest neighbours and their distance in Å.
Space group P-31m (No. 162)
One atom of each set of equivalent atoms:
Li 0.0000 0.3583 0.3119 x6  7 Ag 2.69-2.93, 1 Hg 2.97
Ag 0.0000 0.3013 0.8255 x6  5 Li 2.69-2.93, 2 Ag 2.88, 1 Hg 2.97
Ag 0.3333 0.6667 0.0000 x2  8 Ag 2.82-2.88, 6 Li 3.05
Ag 0.3333 0.6667 0.5000 x2  6 Li 2.70, 2 Ag 2.82
Hg 0.0000 0.0000 0.5000 x1  6 Ag 2.97, 6 Li 2.97

***

Record 2
Computed, not measured: an optimized crystal structure of CdRu at the PBE level of DFT.

Values from the calculation:
- calculated formation energy (meV per atom) = 384
- total magnetic moment (Bohr magnetons per cell) = 0.001

Cell lengths 8.7397, 8.7397, 3.8580 Å; angles 90.00, 90.00, 90.00 degrees
Last column: nearest neighbours and their distance in Å.
Space group I4/mmm (No. 139)
One atom of each set of equivalent atoms:
Cd 0.1628 0.1628 0.0000 x8  4 Cd 2.85-2.89, 6 Ru 2.92-2.95
Ru 0.0000 0.3543 0.5000 x8  5 Ru 2.55-2.64